w | A geometry-optimized MgAu2Se structure, computed with GGA-PBE.

Summary:
Total magnetization, μB per formula unit: 0.00

a = 6.758 Å, b = 6.758 Å, c = 6.758 Å
α = 90.00°, β = 90.00°, γ = 90.00°
Sites, in units of the cell vectors:
Mg: 0.000 0.000 0.000
Mg: 0.000 0.500 0.500
Mg: 0.500 0.000 0.500
Mg: 0.500 0.500 0.000
Au: 0.000 0.000 0.500
Au: 0.000 0.500 0.000
Au: 0.250 0.250 0.250
Au: 0.250 0.750 0.750
Au: 0.500 0.000 0.000
Au: 0.500 0.500 0.500
Au: 0.750 0.250 0.750
Au: 0.750 0.750 0.250
Se: 0.250 0.250 0.750
Se: 0.250 0.750 0.250
Se: 0.750 0.250 0.250
Se: 0.750 0.750 0.750

x | A geometry-optimized MgAu2Se structure, computed with GGA-PBE.

Summary:
Total magnetization, μB per formula unit: 0.00

a = 6.746 Å, b = 6.746 Å, c = 6.746 Å
α = 90.00°, β = 90.00°, γ = 90.00°
Sites, in units of the cell vectors:
Mg: 0.000 0.000 0.000
Mg: 0.000 0.500 0.500
Mg: 0.500 0.000 0.500
Mg: 0.500 0.500 0.000
Au: 0.250 0.250 0.250
Au: 0.250 0.250 0.750
Au: 0.250 0.750 0.250
Au: 0.250 0.750 0.750
Au: 0.750 0.250 0.250
Au: 0.750 0.250 0.750
Au: 0.750 0.750 0.250
Au: 0.750 0.750 0.750
Se: 0.000 0.000 0.500
Se: 0.000 0.500 0.000
Se: 0.500 0.000 0.000
Se: 0.500 0.500 0.500

In order of decreasing stability: w, x.

w | A geometry-optimized MgAu2Se structure, computed with GGA-PBE.

Summary:
Total magnetization, μB per formula unit: 0.00

a = 2.920 Å, b = 2.920 Å, c = 9.077 Å
α = 90.00°, β = 90.00°, γ = 90.00°
Sites, in units of the cell vectors:
Mg: 0.000 0.000 0.000
Au: 0.500 0.500 0.210
Au: 0.500 0.500 0.790
Se: 0.000 0.000 0.500

x | A geometry-optimized MgAu2Se structure, computed with GGA-PBE.

Summary:
Total magnetization, μB per formula unit: 0.00

a = 10.744 Å, b = 3.815 Å, c = 3.957 Å
α = 90.00°, β = 90.31°, γ = 90.00°
Sites, in units of the cell vectors:
Mg: 0.000 0.000 0.000
Mg: 0.500 0.500 0.000
Au: 0.238 0.500 0.245
Au: 0.262 0.000 0.755
Au: 0.738 0.000 0.245
Au: 0.762 0.500 0.755
Se: 0.000 0.500 0.500
Se: 0.500 0.000 0.500

y | A geometry-optimized MgAu2Se structure, computed with GGA-PBE.

Summary:
Total magnetization, μB per formula unit: 0.00

a = 5.522 Å, b = 5.589 Å, c = 5.191 Å
α = 90.00°, β = 90.00°, γ = 90.00°
Sites, in units of the cell vectors:
Mg: 0.000 0.000 0.000
Mg: 0.500 0.500 0.000
Au: 0.245 0.000 0.500
Au: 0.255 0.500 0.500
Au: 0.745 0.500 0.500
Au: 0.755 0.000 0.500
Se: 0.000 0.500 0.000
Se: 0.500 0.000 0.000

In order of decreasing stability: y, x, w.

w | A geometry-optimized Mg2AuSe2 structure, computed with GGA-PBE.

Summary:
Total magnetization, μB per formula unit: 0.00

a = 3.962 Å, b = 3.962 Å, c = 13.949 Å
α = 90.00°, β = 90.00°, γ = 90.00°
Sites, in units of the cell vectors:
Mg: 0.000 0.000 0.103
Mg: 0.000 0.000 0.897
Mg: 0.500 0.500 0.397
Mg: 0.500 0.500 0.603
Au: 0.000 0.000 0.500
Au: 0.500 0.500 0.000
Se: 0.000 0.500 0.250
Se: 0.000 0.500 0.750
Se: 0.500 0.000 0.250
Se: 0.500 0.000 0.750

x | A geometry-optimized Mg2AuSe2 structure, computed with GGA-PBE.

Summary:
Total magnetization, μB per formula unit: 0.00

a = 7.505 Å, b = 7.505 Å, c = 3.643 Å
α = 90.00°, β = 90.00°, γ = 90.00°
Sites, in units of the cell vectors:
Mg: 0.150 0.350 0.000
Mg: 0.350 0.850 0.000
Mg: 0.650 0.150 0.000
Mg: 0.850 0.650 0.000
Au: 0.000 0.000 0.000
Au: 0.500 0.500 0.000
Se: 0.159 0.659 0.500
Se: 0.341 0.159 0.500
Se: 0.659 0.841 0.500
Se: 0.841 0.341 0.500

In order of decreasing stability: x, w.